[1]
Entry from Alexandria: crystalline PmZrTcPt at its relaxed geometry (PBE-GGA).

Unit cell a=6.8515 b=6.8515 c=6.8515 alpha=90.00 beta=90.00 gamma=90.00
Space group F-43m (No. 216)
One atom of each set of equivalent atoms:
Pm 0.0000 0.0000 0.0000
Zr 0.0000 0.0000 0.5000
Tc 0.2500 0.2500 0.7500
Pt 0.2500 0.2500 0.2500

As for the formation enthalpy at 0 K: -466 meV/atom. The calculation puts the total DFT energy (no corrections) at -7.89 eV per atom. Its magnetization is 0.00 Bohr magnetons per cell.

=====

[2]
Entry from Alexandria: crystalline NaSrCu2Te at its relaxed geometry (PBE-GGA).

Unit cell a=5.2125 b=5.2125 c=5.4685 alpha=90.00 beta=90.00 gamma=90.00
Space group P4/mmm (No. 123)
One atom of each set of equivalent atoms:
Na 0.0000 0.0000 0.0000
Sr 0.5000 0.5000 0.0000
Cu 0.0000 0.5000 0.5000
Te 0.0000 0.0000 0.5000

The calculation puts the total DFT energy (no corrections) at -2.68 eV per atom. Its magnetization is 0.00 Bohr magnetons per cell. The uncorrected formation energy is 182 meV/atom.

=====

[3]
Entry from Alexandria: crystalline HfTiP3 at its relaxed geometry (PBE-GGA).

Unit cell a=4.8781 b=4.8781 c=4.8781 alpha=90.00 beta=90.00 gamma=90.00
Space group Pm-3m (No. 221)
One atom of each set of equivalent atoms:
Hf 0.0000 0.0000 0.0000
Ti 0.5000 0.5000 0.5000
P 0.0000 0.0000 0.5000

As for the formation enthalpy at 0 K: 483 meV/atom. The calculation puts the total DFT energy (no corrections) at -6.33 eV per atom. Its magnetization is 0.00 Bohr magnetons per cell. The value obtained for the excess energy over the best structure of this formula in the dataset is 0.332 eV/atom.

=====

[4]
Entry from Alexandria: crystalline MnMo2Ru at its relaxed geometry (PBE-GGA).

Unit cell a=2.7284 b=2.7284 c=26.5518 alpha=90.00 beta=90.00 gamma=120.00
Space group R-3m (No. 166, hexagonal axes)
One atom of each set of equivalent atoms:
Mn 0.0000 0.0000 0.0000
Mo 0.0000 0.0000 0.2532
Ru 0.0000 0.0000 0.5000

As for the formation enthalpy at 0 K: 258 meV/atom. The calculation puts the total DFT energy (no corrections) at -9.77 eV per atom. Its magnetization is 0.00 Bohr magnetons per cell. The value obtained for the excess energy over the best structure of this formula in the dataset is 0.190 eV/atom.

=====

Question: The lowest total DFT energy (no corrections) belongs to which entry?
Answer: MnMo2Ru